1.
Compound: BaSr2CuOs
Source: Alexandria via LeMat-Bulk
Functional: PBEsol
Structure: optimized geometry

a = 5.6904 Å, b = 5.6904 Å, c = 4.9475 Å
α = 90.00°, β = 90.00°, γ = 90.00°
With the nearest neighbours (Å) after each atom.
Space group P4/mmm (No. 123)
Symmetry-distinct sites (fractional):
Ba  0.0000  0.0000  0.0000 [1 per cell]  8 Sr 3.77, 4 Cu 4.02
Sr  0.0000  0.5000  0.5000 [2 per cell]  2 Os 2.85
Cu  0.5000  0.5000  0.0000 [1 per cell]  2 Os 2.47
Os  0.5000  0.5000  0.5000 [1 per cell]  2 Cu 2.47

Values from the calculation:
**Formation energy**: 659 meV per atom
**Magnetization**: 0.52 μB per cell
**Fermi-level density of states**: 7.0 states/eV/cell



2.
Compound: BaTiCu2Os
Source: Alexandria via LeMat-Bulk
Functional: PBEsol
Structure: optimized geometry

a = 4.7650 Å, b = 4.7650 Å, c = 5.2827 Å
α = 90.00°, β = 90.00°, γ = 90.00°
With the nearest neighbours (Å) after each atom.
Space group P4/mmm (No. 123)
Symmetry-distinct sites (fractional):
Ba  0.0000  0.0000  0.0000 [1 per cell]  2 Os 2.64
Ti  0.5000  0.5000  0.0000 [1 per cell]  4 Ba 3.37, 8 Cu 3.56
Cu  0.0000  0.5000  0.5000 [2 per cell]  2 Os 2.38
Os  0.0000  0.0000  0.5000 [1 per cell]  4 Cu 2.38, 2 Ba 2.64

Values from the calculation:
**Formation energy**: 1488 meV per atom
**Magnetization**: 2.59 μB per cell
**Fermi-level density of states**: 7.1 states/eV/cell



3.
Compound: BaCu2P
Source: Alexandria via LeMat-Bulk
Functional: PBEsol
Structure: optimized geometry

a = 3.9626 Å, b = 4.7395 Å, c = 4.7639 Å
α = 90.00°, β = 90.00°, γ = 90.00°
With the nearest neighbours (Å) after each atom.
Space group Pmmm (No. 47)
Symmetry-distinct sites (fractional):
Ba  0.0000  0.0000  0.0000 [1 per cell]  8 Cu 3.32, 4 P 3.36
Cu  0.5000  0.2513  0.5000 [2 per cell]  2 P 2.31, 2 Cu 2.36-2.38
P  0.0000  0.5000  0.5000 [1 per cell]  4 Cu 2.31

Values from the calculation:
**Formation energy**: -279 meV per atom
**Magnetization**: 0.00 μB per cell
**Fermi-level density of states**: 1.7 states/eV/cell



4.
Compound: BaCu2P
Source: Alexandria via LeMat-Bulk
Functional: PBEsol
Structure: optimized geometry

a = 4.2399 Å, b = 4.1212 Å, c = 5.0724 Å
α = 90.00°, β = 99.63°, γ = 90.00°
With the nearest neighbours (Å) after each atom.
Space group Pm (No. 6)
Symmetry-distinct sites (fractional):
Ba  0.0000  0.0000  0.0000 [1 per cell]  2 Cu 3.01-3.04, 2 P 3.28
Cu  0.4734  0.0000  0.5135 [1 per cell]  2 P 2.26, 2 Cu 2.46
Cu  0.7767  0.5000  0.4658 [1 per cell]  2 P 2.22-2.24, 2 Cu 2.46
P  0.3023  0.5000  0.6066 [1 per cell]  4 Cu 2.22-2.26

Values from the calculation:
**Formation energy**: -318 meV per atom
**Magnetization**: 0.00 μB per cell
**Fermi-level density of states**: 1.8 states/eV/cell